No. 1
Crystalline IrSeBr2 at its relaxed geometry, computed with PBE.

Cell lengths 6.8383, 6.8383, 6.8383 Å; angles 90.00, 90.00, 90.00 degrees
Space group Fm-3m (No. 225)
One atom of each set of equivalent atoms:
Ir 0.0000 0.0000 0.0000 [4 per cell]
Se 0.0000 0.0000 0.5000 [4 per cell]
Br 0.2500 0.2500 0.2500 [8 per cell]

Values from the calculation:
Uncorrected formation energy (eV/atom): 1.224

No. 2
Crystalline Er4TlIn at its relaxed geometry, computed with PBE.

Cell lengths 5.3875, 21.7166, 6.5202 Å; angles 90.00, 90.00, 90.00 degrees
Space group Cmc2_1 (No. 36)
One atom of each set of equivalent atoms:
Er 0.0000 0.0632 0.0000 [4 per cell]
Er 0.0000 0.2022 0.7534 [4 per cell]
Er 0.0000 0.2045 0.2401 [4 per cell]
Er 0.0000 0.3653 0.9956 [4 per cell]
Tl 0.0000 0.0741 0.4982 [4 per cell]
In 0.0000 0.3377 0.4971 [4 per cell]

Values from the calculation:
Formation energy (meV per atom): -98

No. 3
Crystalline HfCo2Ge at its relaxed geometry, computed with PBE.

Cell lengths 3.0461, 3.7096, 5.3331 Å; angles 90.00, 90.34, 90.00 degrees
Space group P2/m (No. 10)
One atom of each set of equivalent atoms:
Hf 0.0000 0.0000 0.0000 [1 per cell]
Co 0.4977 0.5000 0.7590 [2 per cell]
Ge 0.5000 0.0000 0.5000 [1 per cell]

Values from the calculation:
Formation energy (meV per atom): -207

No. 4
Crystalline SrNpBO5 at its relaxed geometry, computed with PBE.

Cell lengths 6.7561, 9.0304, 7.6625 Å; angles 90.00, 112.53, 90.00 degrees
Space group C2/c (No. 15)
One atom of each set of equivalent atoms:
Sr 0.0000 0.1521 0.2500 [4 per cell]
Np 0.0000 0.5000 0.0000 [4 per cell]
B 0.0000 0.1866 0.7500 [4 per cell]
O 0.0000 0.4154 0.2500 [4 per cell]
O 0.0912 0.2838 0.6360 [8 per cell]
O 0.1709 0.0864 0.8845 [8 per cell]

Values from the calculation:
Uncorrected formation energy (eV/atom): -2.730

No. 5
Crystalline FeP2Os at its relaxed geometry, computed with PBE.

Cell lengths 5.9586, 5.9586, 5.9586 Å; angles 90.00, 90.00, 90.00 degrees
Space group F-43m (No. 216)
One atom of each set of equivalent atoms:
Fe 0.0000 0.0000 0.0000 [4 per cell]
P 0.0000 0.0000 0.5000 [4 per cell]
P 0.2500 0.2500 0.7500 [4 per cell]
Os 0.2500 0.2500 0.2500 [4 per cell]

Values from the calculation:
Formation energy (meV per atom): 583

No. 6
Crystalline Tb5PmSn6 at its relaxed geometry, computed with PBE.

Cell lengths 5.7605, 14.1909, 8.5283 Å; angles 90.00, 102.03, 90.00 degrees
Space group C2/m (No. 12)
One atom of each set of equivalent atoms:
Tb 0.0000 0.0000 0.0000 [2 per cell]
Tb 0.0000 0.3313 0.5000 [4 per cell]
Tb 0.0000 0.3359 0.0000 [4 per cell]
Pm 0.0000 0.0000 0.5000 [2 per cell]
Sn 0.0030 0.1682 0.2465 [8 per cell]
Sn 0.0119 0.5000 0.7479 [4 per cell]

Values from the calculation:
Formation energy (meV per atom): -636

What are the theoretical density values for these records? In order: 8952 8605 10168 6390 9671 8046 kg/m3.